No. 1
Entry from the Alexandria database: TbPm6Pr3Tm2 after structural relaxation (PBE-GGA).

```
12
Lattice="6.3006 -0.0019 0.0064 -3.1504 5.4565 0.0064 -1.0641 -1.8424 11.8262" Properties=species:S:1:pos:R:3 pbc="T T T"
Tb 0.0000 0.0000 0.0000
Pm 3.1396 1.7922 8.9465
Pm 2.0971 3.6311 2.8970
Pm -1.0535 1.8199 2.8925
Pm -0.0167 3.6151 8.9465
Pm -0.0110 -0.0190 8.9419
Pm 2.1028 -0.0030 2.8925
Pr -2.1066 3.6251 5.9195
Pr 4.1927 -0.0130 5.9195
Pr 1.0431 1.8061 5.9195
Tm -0.0006 3.6373 0.0064
Tm 3.1508 1.8173 0.0064
```

No. 2
Entry from the Alexandria database: TmGaTcGe after structural relaxation (PBE-GGA).

```
4
Lattice="4.5999 0.0000 0.0000 2.2999 3.9836 0.0000 2.2999 1.3279 3.7558" Properties=species:S:1:pos:R:3 pbc="T T T"
Ge 2.2999 1.3279 0.9389
Tm 0.0000 0.0000 0.0000
Tc 4.5999 2.6557 1.8779
Ga 6.8998 3.9836 2.8168
```

No. 3
Entry from the Alexandria database: Fe2IrRh3 after structural relaxation (PBE-GGA).

```
12
Lattice="-1.4536 -5.2393 1.6091 5.4772 -1.3232 0.6335 -0.2086 1.7147 5.4008" Properties=species:S:1:pos:R:3 pbc="T T T"
Fe 0.0000 0.0000 0.0000
Fe -0.8311 -1.7623 3.5050
Fe 2.0118 -3.2813 1.1213
Fe 2.6343 0.1957 3.0171
Ir 0.8497 -0.3550 4.6111
Ir 2.9653 -4.4928 3.0323
Rh 3.5878 -1.0158 4.9282
Rh 0.1224 -2.9738 5.4160
Rh 0.9535 -1.2115 1.9110
Rh 3.6926 -1.8740 2.2274
Rh 0.2271 -3.8320 2.7152
Rh 2.8615 -3.6363 5.7324
```

The M_tot results, record by record, are as follows: 0.00, 0.00, 9.95 μB/cell.
The DFT formation energy results, record by record, are as follows: 0.019, -0.287, 0.334 eV/atom.
The DOS at the Fermi energy results, record by record, are as follows: 1.39, 0.95, 1.17 states/eV per atom.